# 1
# BaBi2Pd2

A crystal of BaBi2Pd2 relaxed with PBEsol (SCAN, Alexandria).

## Properties
DOS at the Fermi energy = 5.06 states/eV per cell

```
data_BaBi2Pd2
_space_group_name_H-M_alt 'P 1 21/m 1'
_space_group_IT_number 11
_cell_length_a 4.912
_cell_length_b 4.832
_cell_length_c 10.826
_cell_angle_alpha 90.00
_cell_angle_beta 91.50
_cell_angle_gamma 90.00
loop_
_space_group_symop_operation_xyz
'x,y,z'
'-x,-y,-z'
'-x,y+1/2,-z'
'x,-y+1/2,z'
loop_
_atom_site_label
_atom_site_fract_x
_atom_site_fract_y
_atom_site_fract_z
Ba1 0.241 0.250 0.241
Bi1 0.252 0.750 0.498
Bi2 0.289 0.250 0.881
Pd1 0.193 0.750 0.999
Pd2 0.252 0.250 0.627
```

# 2
# Ba3BiPt

A crystal of Ba3BiPt relaxed with PBEsol (SCAN, Alexandria).

## Properties
DOS at the Fermi energy = 3.07 states/eV per cell

```
data_Ba3BiPt
_space_group_name_H-M_alt 'P m -3 m'
_space_group_IT_number 221
_space_group_name_Hall '-P 4 2 3'
_cell_length_a 6.480
_cell_length_b 6.480
_cell_length_c 6.480
_cell_angle_alpha 90.00
_cell_angle_beta 90.00
_cell_angle_gamma 90.00
loop_
_atom_site_label
_atom_site_fract_x
_atom_site_fract_y
_atom_site_fract_z
Ba1 0.000 0.000 0.500
Bi1 0.000 0.000 0.000
Pt1 0.500 0.500 0.500
```

# 3
# BaBiPt2

A crystal of BaBiPt2 relaxed with PBEsol (SCAN, Alexandria).

## Properties
DOS at the Fermi energy = 5.50 states/eV per cell

```
data_BaBiPt2
_space_group_name_H-M_alt 'I -4 2 d'
_space_group_IT_number 122
_space_group_name_Hall 'I -4 2bw'
_cell_length_a 5.222
_cell_length_b 5.222
_cell_length_c 18.217
_cell_angle_alpha 90.00
_cell_angle_beta 90.00
_cell_angle_gamma 90.00
loop_
_atom_site_label
_atom_site_fract_x
_atom_site_fract_y
_atom_site_fract_z
Ba1 0.000 0.000 0.000
Bi1 0.000 0.000 0.500
Pt1 0.036 0.250 0.625
```

# 4
# BaBi2Pt2

A crystal of BaBi2Pt2 relaxed with PBEsol (SCAN, Alexandria).

## Properties
DOS at the Fermi energy = 4.44 states/eV per cell

```
data_BaBi2Pt2
_space_group_name_H-M_alt 'I 4/m m m'
_space_group_IT_number 139
_space_group_name_Hall '-I 4 2'
_cell_length_a 4.921
_cell_length_b 4.921
_cell_length_c 11.122
_cell_angle_alpha 90.00
_cell_angle_beta 90.00
_cell_angle_gamma 90.00
loop_
_atom_site_label
_atom_site_fract_x
_atom_site_fract_y
_atom_site_fract_z
Ba1 0.000 0.000 0.000
Bi1 0.000 0.000 0.358
Pt1 0.000 0.500 0.250
```

# 5
# Ba2Bi2Pt

A crystal of Ba2Bi2Pt relaxed with PBEsol (SCAN, Alexandria).

## Properties
DOS at the Fermi energy = 4.97 states/eV per cell

```
data_Ba2Bi2Pt
_space_group_name_H-M_alt 'I 4/m m m'
_space_group_IT_number 139
_space_group_name_Hall '-I 4 2'
_cell_length_a 4.345
_cell_length_b 4.345
_cell_length_c 18.667
_cell_angle_alpha 90.00
_cell_angle_beta 90.00
_cell_angle_gamma 90.00
loop_
_atom_site_label
_atom_site_fract_x
_atom_site_fract_y
_atom_site_fract_z
Ba1 0.000 0.000 0.094
Bi1 0.000 0.500 0.250
Pt1 0.000 0.000 0.500
```

# 6
# RbBaBi2Pt

A crystal of RbBaBi2Pt relaxed with PBEsol (SCAN, Alexandria).

## Properties
DOS at the Fermi energy = 6.21 states/eV per cell

```
data_RbBaBi2Pt
_space_group_name_H-M_alt 'P 4/m m m'
_space_group_IT_number 123
_space_group_name_Hall '-P 4 2'
_cell_length_a 6.365
_cell_length_b 6.365
_cell_length_c 5.519
_cell_angle_alpha 90.00
_cell_angle_beta 90.00
_cell_angle_gamma 90.00
loop_
_atom_site_label
_atom_site_fract_x
_atom_site_fract_y
_atom_site_fract_z
Rb1 0.000 0.000 0.000
Ba1 0.500 0.500 0.500
Bi1 0.000 0.500 0.500
Pt1 0.500 0.500 0.000
```

# 7
# RbBa2Bi2

A crystal of RbBa2Bi2 relaxed with PBEsol (SCAN, Alexandria).

## Properties
DOS at the Fermi energy = 2.41 states/eV per cell

```
data_RbBa2Bi2
_space_group_name_H-M_alt 'P 4/m b m'
_space_group_IT_number 127
_space_group_name_Hall '-P 4 2ab'
_cell_length_a 10.233
_cell_length_b 10.233
_cell_length_c 4.052
_cell_angle_alpha 90.00
_cell_angle_beta 90.00
_cell_angle_gamma 90.00
loop_
_atom_site_label
_atom_site_fract_x
_atom_site_fract_y
_atom_site_fract_z
Rb1 0.000 0.000 0.000
Ba1 0.132 0.368 0.500
Bi1 0.165 0.665 0.000
```

# 8
# RbBaBiW2

A crystal of RbBaBiW2 relaxed with PBEsol (SCAN, Alexandria).

## Properties
DOS at the Fermi energy = 3.76 states/eV per cell

```
data_RbBaBiW2
_space_group_name_H-M_alt 'P 4/m m m'
_space_group_IT_number 123
_space_group_name_Hall '-P 4 2'
_cell_length_a 5.193
_cell_length_b 5.193
_cell_length_c 6.371
_cell_angle_alpha 90.00
_cell_angle_beta 90.00
_cell_angle_gamma 90.00
loop_
_atom_site_label
_atom_site_fract_x
_atom_site_fract_y
_atom_site_fract_z
Rb1 0.000 0.000 0.000
Ba1 0.500 0.500 0.000
Bi1 0.500 0.500 0.500
W1 0.000 0.500 0.500
```

no.,E_tot (eV per atom),total magnetization (μB/f.u.),E_form (eV per formula unit)
1,-53.1606,0.000,-3.5
2,-53.4401,0.000,0.2
3,-65.1760,0.000,-2.2
4,-68.0079,0.000,-2.9
5,-61.8257,0.000,-2.7
6,-56.9317,0.000,3.0
7,-52.2306,0.000,-4.2
8,-53.5896,0.000,10.3